# 1
DFT (GGA-PBE) results for a geometry-optimized CsBa2TaS5 structure.

Its total magnetic moment is 0.00 μB per atom. As for the energy: -0.2083 hartree per atom. As for the crystal system: orthorhombic. The raw formation energy comes out at -13.8 eV per formula unit.

a b c (Å): 4.871 7.768 14.365
angles (deg): 90.00 90.00 90.00
Space group Immm (No. 71)
Unique sites:
Cs (0.000, 0.000, 0.000) [2 per cell]
Ba (0.000, 0.500, 0.215) [4 per cell]
Ta (0.000, 0.000, 0.500) [2 per cell]
S (0.000, 0.221, 0.375) [8 per cell]
S (0.000, 0.500, 0.000) [2 per cell]

# 2
DFT (GGA-PBE) results for a geometry-optimized HfCoSn structure.

Its total magnetic moment is 0.00 μB per atom. As for the energy: -0.2742 hartree per atom. As for the crystal system: hexagonal.

a b c (Å): 7.1222 7.1222 7.1270
angles (deg): 90.00 90.00 120.00
Space group P-62c (No. 190)
Unique sites:
Hf (0.0078, 0.4007, 0.2500) [6 per cell]
Co (0.0000, 0.0000, 0.2500) [2 per cell]
Co (0.3333, 0.6667, 0.5358) [4 per cell]
Sn (0.0000, 0.7319, 0.0000) [6 per cell]

# 3
DFT (GGA-PBE) results for a geometry-optimized SrH2Rh structure.

The calculation puts the polymorph energy (0 for the lowest one) at 0.00 eV/f.u. Its total magnetic moment is 0.00 μB per atom. As for the energy: -0.1568 hartree per atom. As for the crystal system: tetragonal.

a b c (Å): 4.515 4.515 10.904
angles (deg): 90.00 90.00 90.00
Space group I-42d (No. 122)
Unique sites:
Sr (0.000, 0.000, 0.000) [4 per cell]
H (0.036, 0.250, 0.625) [8 per cell]
Rh (0.000, 0.000, 0.500) [4 per cell]

# 4
DFT (GGA-PBE) results for a geometry-optimized Hf2TlGa structure.

The calculation puts the polymorph energy (0 for the lowest one) at 0.25 eV/f.u. Its total magnetic moment is 0.00 μB per atom. As for the energy: -0.2337 hartree per atom. As for the crystal system: trigonal.

a b c (Å): 3.2464 3.2464 28.1953
angles (deg): 90.00 90.00 120.00
Space group R-3m (No. 166, hexagonal axes)
Unique sites:
Hf (0.0000, 0.0000, 0.2439) [6 per cell]
Tl (0.0000, 0.0000, 0.0000) [3 per cell]
Ga (0.0000, 0.0000, 0.5000) [3 per cell]

# 5
DFT (GGA-PBE) results for a geometry-optimized LiHfGaNi structure.

Its total magnetic moment is 0.00 μB per atom. As for the energy: -0.2076 hartree per atom. As for the crystal system: cubic.

a b c (Å): 6.087 6.087 6.087
angles (deg): 90.00 90.00 90.00
Space group F-43m (No. 216)
Unique sites:
Li (0.000, 0.000, 0.000) [4 per cell]
Hf (0.250, 0.250, 0.250) [4 per cell]
Ga (0.250, 0.250, 0.750) [4 per cell]
Ni (0.000, 0.000, 0.500) [4 per cell]

# 6
DFT (GGA-PBE) results for a geometry-optimized HoPa6N12 structure.

Its total magnetic moment is 0.00 μB per atom. As for the energy: -0.3665 hartree per atom. As for the crystal system: trigonal. The raw formation energy comes out at -28.0 eV per formula unit.

a b c (Å): 10.1803 10.1803 9.3836
angles (deg): 90.00 90.00 120.00
Space group R-3 (No. 148, hexagonal axes)
Unique sites:
Ho (0.0000, 0.0000, 0.0000) [3 per cell]
Pa (0.0498, 0.7938, 0.6571) [18 per cell]
N (0.0359, 0.8121, 0.4007) [18 per cell]
N (0.0415, 0.8174, 0.8949) [18 per cell]

# 7
DFT (GGA-PBE) results for a geometry-optimized K2RbCd2Au2 structure.

Its total magnetic moment is 0.00 μB per atom. As for the energy: -0.0686 hartree per atom. As for the crystal system: trigonal.

a b c (Å): 4.8975 4.8975 39.0916
angles (deg): 90.00 90.00 120.00
Space group R-3m (No. 166, hexagonal axes)
Unique sites:
K (0.0000, 0.0000, 0.1196) [6 per cell]
Rb (0.0000, 0.0000, 0.0000) [3 per cell]
Cd (0.0000, 0.0000, 0.2689) [6 per cell]
Au (0.0000, 0.0000, 0.3993) [6 per cell]

# 8
DFT (GGA-PBE) results for a geometry-optimized K2SnH2Cl4O structure.

Its total magnetic moment is 0.00 μB per atom. As for the energy: -0.1446 hartree per atom. As for the crystal system: orthorhombic.

a b c (Å): 12.134 9.142 8.711
angles (deg): 90.00 90.00 90.00
Space group Pnma (No. 62)
Unique sites:
K (0.190, 0.019, 0.150) [8 per cell]
Sn (0.013, 0.250, 0.498) [4 per cell]
H (0.037, 0.750, 0.926) [4 per cell]
H (0.050, 0.250, 0.942) [4 per cell]
Cl (0.051, 0.051, 0.705) [8 per cell]
Cl (0.195, 0.750, 0.411) [4 per cell]
Cl (0.232, 0.750, 0.919) [4 per cell]
O (0.043, 0.250, 0.054) [4 per cell]

# 9
DFT (GGA-PBE) results for a geometry-optimized Ho3Hf5Th12 structure.

Its total magnetic moment is 0.00 μB per atom. As for the energy: -0.2341 hartree per atom. As for the crystal system: cubic.

a b c (Å): 17.988 17.988 17.988
angles (deg): 90.00 90.00 90.00
Space group Ia-3d (No. 230)
Unique sites:
Ho (0.000, 0.250, 0.125) [24 per cell]
Hf (0.000, 0.000, 0.000) [16 per cell]
Hf (0.000, 0.250, 0.375) [24 per cell]
Th (0.037, 0.071, 0.639) [96 per cell]

# 10
DFT (GGA-PBE) results for a geometry-optimized Sr2CaGa4 structure.

Its total magnetic moment is 0.00 μB per atom. As for the energy: -0.1080 hartree per atom. As for the crystal system: orthorhombic.

a b c (Å): 4.315 4.618 19.754
angles (deg): 90.00 90.00 90.00
Space group Immm (No. 71)
Unique sites:
Sr (0.000, 0.000, 0.182) [4 per cell]
Ca (0.000, 0.500, 0.500) [2 per cell]
Ga (0.000, 0.000, 0.368) [4 per cell]
Ga (0.000, 0.500, 0.062) [4 per cell]

# 11
DFT (GGA-PBE) results for a geometry-optimized CsTaCr3 structure.

The calculation puts the polymorph energy (0 for the lowest one) at 6.54 eV/f.u. Its total magnetic moment is 1.54 μB per atom. As for the energy: -0.1984 hartree per atom. As for the crystal system: cubic.

a b c (Å): 4.822 4.822 4.822
angles (deg): 90.00 90.00 90.00
Space group Pm-3m (No. 221)
Unique sites:
Cs (0.000, 0.000, 0.000) [1 per cell]
Ta (0.500, 0.500, 0.500) [1 per cell]
Cr (0.000, 0.000, 0.500) [3 per cell]

# 12
DFT (GGA-PBE) results for a geometry-optimized KTh2C structure.

Its total magnetic moment is 0.00 μB per atom. As for the energy: -0.2297 hartree per atom. As for the crystal system: trigonal.

a b c (Å): 3.6891 3.6891 32.8016
angles (deg): 90.00 90.00 120.00
Space group R-3m (No. 166, hexagonal axes)
Unique sites:
K (0.0000, 0.0000, 0.0000) [3 per cell]
Th (0.0000, 0.0000, 0.1232) [6 per cell]
C (0.0000, 0.0000, 0.5000) [3 per cell]

# 13
DFT (GGA-PBE) results for a geometry-optimized SrMgNbZn2 structure.

Its total magnetic moment is 0.43 μB per atom. As for the energy: -0.0586 hartree per atom. As for the crystal system: tetragonal.

a b c (Å): 5.471 5.471 5.352
angles (deg): 90.00 90.00 90.00
Space group P4/mmm (No. 123)
Unique sites:
Sr (0.000, 0.000, 0.000) [1 per cell]
Mg (0.500, 0.500, 0.500) [1 per cell]
Nb (0.000, 0.000, 0.500) [1 per cell]
Zn (0.000, 0.500, 0.000) [2 per cell]

# 14
DFT (GGA-PBE) results for a geometry-optimized YHg3 structure.

Its total magnetic moment is 0.00 μB per atom. As for the energy: -0.0771 hartree per atom. As for the crystal system: tetragonal.

a b c (Å): 3.806 3.806 6.888
angles (deg): 90.00 90.00 90.00
Space group P4/mmm (No. 123)
Unique sites:
Y (0.000, 0.000, 0.000) [1 per cell]
Hg (0.000, 0.000, 0.500) [1 per cell]
Hg (0.500, 0.500, 0.251) [2 per cell]

# 15
DFT (GGA-PBE) results for a geometry-optimized Pr2Cu2Cl structure.

Its total magnetic moment is 0.00 μB per atom. As for the energy: -0.1704 hartree per atom. As for the crystal system: monoclinic. The raw formation energy comes out at -3.6 eV per formula unit.

a b c (Å): 7.394 4.130 8.210
angles (deg): 90.00 107.97 90.00
Space group C2/m (No. 12)
Unique sites:
Pr (0.081, 0.000, 0.238) [4 per cell]
Cu (0.165, 0.500, 0.002) [4 per cell]
Cl (0.000, 0.500, 0.500) [2 per cell]

# 16
DFT (GGA-PBE) results for a geometry-optimized Ba2AgBr2 structure.

Its total magnetic moment is 0.00 μB per atom. As for the energy: -0.1168 hartree per atom. As for the crystal system: tetragonal. The raw formation energy comes out at -5.9 eV per formula unit.

a b c (Å): 8.954 8.954 4.589
angles (deg): 90.00 90.00 90.00
Space group P4/mbm (No. 127)
Unique sites:
Ba (0.167, 0.333, 0.000) [4 per cell]
Ag (0.000, 0.000, 0.000) [2 per cell]
Br (0.138, 0.638, 0.500) [4 per cell]

# 17
DFT (GGA-PBE) results for a geometry-optimized InTcNiH2 structure.

Its total magnetic moment is 0.38 μB per atom. As for the energy: -0.1618 hartree per atom. As for the crystal system: tetragonal.

a b c (Å): 3.521 3.521 5.370
angles (deg): 90.00 90.00 90.00
Space group P4/mmm (No. 123)
Unique sites:
In (0.000, 0.000, 0.000) [1 per cell]
Tc (0.000, 0.000, 0.500) [1 per cell]
Ni (0.500, 0.500, 0.000) [1 per cell]
H (0.000, 0.500, 0.500) [2 per cell]

# 18
DFT (GGA-PBE) results for a geometry-optimized Mn4Ru5 structure.

The calculation puts the polymorph energy (0 for the lowest one) at 0.00 eV/f.u. Its total magnetic moment is 0.30 μB per atom. As for the energy: -0.3357 hartree per atom. As for the crystal system: hexagonal.

a b c (Å): 7.2218 7.2218 5.2396
angles (deg): 90.00 90.00 120.00
Space group P6_3/mcm (No. 193)
Unique sites:
Mn (0.0000, 0.0000, 0.0000) [2 per cell]
Mn (0.0000, 0.3401, 0.2500) [6 per cell]
Ru (0.0000, 0.3230, 0.7500) [6 per cell]
Ru (0.3333, 0.6667, 0.0000) [4 per cell]